Record 1
VASP calculation (PBE) on an optimized crystal structure of OsRhBr2.

abc: 7.105 7.105 7.105
angles: 151.18 145.87 45.26
Last column: magnetic moment on the atom in μB.
Element x y z (fractional)
Br: 0.612 0.612 0.000  0.02
Br: 0.888 0.888 0.000  0.02
Rh: 0.250 0.750 0.500  0.76
Os: 0.750 0.250 0.500  0.48

Results
N(E_F) (states/eV/f.u.): 3.9
Total DFT energy (no corrections) (eV per formula unit): -19.08
E_form (uncorrected) (eV/atom): 0.71
Excess energy over the best structure of this formula in the dataset (meV per atom): 343.0


Record 2
VASP calculation (PBE) on an optimized crystal structure of OsRhBr2.

abc: 4.341 3.107 5.361
angles: 94.75 90.00 90.00
Element x y z (fractional)
Os: 0.500 0.250 0.250
Rh: 0.500 0.750 0.750
Br: 0.000 0.466 0.499
Br: 0.000 0.034 0.001

Results
N(E_F) (states/eV/f.u.): 4.5
Total DFT energy (no corrections) (eV per formula unit): -17.52
E_form (uncorrected) (eV/atom): 1.10
Excess energy over the best structure of this formula in the dataset (meV per atom): 732.9


Record 3
VASP calculation (PBE) on an optimized crystal structure of Os3RhBr.

abc: 4.498 4.498 4.498
angles: 90.00 90.00 90.00
Element x y z (fractional)
Os: 0.000 0.500 0.000
Os: 0.500 0.000 0.000
Os: 0.000 0.000 0.500
Rh: 0.500 0.500 0.500
Br: 0.000 0.000 0.000

Results
N(E_F) (states/eV/f.u.): 9.9
Total DFT energy (no corrections) (eV per formula unit): -30.15
E_form (uncorrected) (eV/atom): 2.51
Excess energy over the best structure of this formula in the dataset (meV per atom): 0.0


Record 4
VASP calculation (PBE) on an optimized crystal structure of OsRhBr2.

abc: 4.575 4.575 3.245
angles: 90.00 90.00 89.98
Element x y z (fractional)
Br: 0.500 0.500 0.000
Br: 0.000 0.000 0.000
Os: 0.500 0.000 0.500
Rh: 0.000 0.500 0.500

Results
N(E_F) (states/eV/f.u.): 4.7
Total DFT energy (no corrections) (eV per formula unit): -16.80
E_form (uncorrected) (eV/atom): 1.28
Excess energy over the best structure of this formula in the dataset (meV per atom): 912.5


Record 5
VASP calculation (PBE) on an optimized crystal structure of OsRhBr2.

abc: 4.511 4.511 8.391
angles: 74.41 74.41 90.00
Element x y z (fractional)
Br: 0.875 0.882 0.750
Br: 0.375 0.368 0.750
Br: 0.118 0.625 0.250
Br: 0.632 0.125 0.250
Os: 0.000 0.000 0.000
Os: 0.750 0.250 0.500
Rh: 0.250 0.750 0.500
Rh: 0.500 0.500 0.000

Results
N(E_F) (states/eV/f.u.): 4.9
Total DFT energy (no corrections) (eV per formula unit): -17.58
E_form (uncorrected) (eV/atom): 1.09
Excess energy over the best structure of this formula in the dataset (meV per atom): 718.7


Record 6
VASP calculation (PBE) on an optimized crystal structure of OsRhBr2.

abc: 3.746 3.746 8.296
angles: 80.69 80.69 57.57
Element x y z (fractional)
Br: 0.798 0.798 0.657
Br: 0.023 0.023 0.089
Rh: 0.166 0.166 0.453
Os: 0.513 0.513 0.302

Results
N(E_F) (states/eV/f.u.): 3.4
Total DFT energy (no corrections) (eV per formula unit): -20.41
E_form (uncorrected) (eV/atom): 0.38
Excess energy over the best structure of this formula in the dataset (meV per atom): 10.3


Record 7
VASP calculation (PBE) on an optimized crystal structure of OsRhBr2.

abc: 6.843 6.843 4.652
angles: 82.28 82.28 26.43
Element x y z (fractional)
Br: 0.110 0.110 0.955
Br: 0.390 0.390 0.545
Os: 0.750 0.750 0.750
Rh: 0.250 0.250 0.250

Results
N(E_F) (states/eV/f.u.): 3.6
Total DFT energy (no corrections) (eV per formula unit): -19.33
E_form (uncorrected) (eV/atom): 0.65
Excess energy over the best structure of this formula in the dataset (meV per atom): 281.3


Record 8
VASP calculation (PBE) on an optimized crystal structure of OsRhBr2.

abc: 10.031 10.031 10.031
angles: 17.54 17.54 17.54
Element x y z (fractional)
Br: 0.022 0.022 0.022
Br: 0.227 0.227 0.227
Rh: 0.759 0.759 0.759
Os: 0.491 0.491 0.491

Results
N(E_F) (states/eV/f.u.): 2.3
Total DFT energy (no corrections) (eV per formula unit): -19.67
E_form (uncorrected) (eV/atom): 0.56
Excess energy over the best structure of this formula in the dataset (meV per atom): 195.0


Record 9
VASP calculation (PBE) on an optimized crystal structure of Os4RhBr2.

abc: 4.749 4.749 7.293
angles: 71.00 71.00 90.00
Last column: magnetic moment on the atom in μB.
Element x y z (fractional)
Rh: 0.000 0.000 0.000  0.00
Os: 0.798 0.798 0.404  2.02
Os: 0.000 0.500 0.000  -0.19
Os: 0.202 0.202 0.596  2.02
Os: 0.500 0.000 0.000  -0.19
Br: 0.617 0.617 0.767  0.01
Br: 0.383 0.383 0.233  0.01

Results
N(E_F) (states/eV/f.u.): 9.2
Total DFT energy (no corrections) (eV per formula unit): -38.60
E_form (uncorrected) (eV/atom): 2.43


Record 10
VASP calculation (PBE) on an optimized crystal structure of OsRhBr2.

abc: 6.530 6.530 6.530
angles: 152.91 140.90 48.22
Element x y z (fractional)
Rh: 0.331 0.831 0.500
Br: 0.969 0.969 0.000
Br: 0.692 0.192 0.500
Os: 0.508 0.508 0.000

Results
N(E_F) (states/eV/f.u.): 5.0
Total DFT energy (no corrections) (eV per formula unit): -18.10
E_form (uncorrected) (eV/atom): 0.96
Excess energy over the best structure of this formula in the dataset (meV per atom): 587.8


Record 11
VASP calculation (PBE) on an optimized crystal structure of OsRhBr4.

abc: 5.960 5.960 5.960
angles: 60.00 60.00 60.00
Last column: magnetic moment on the atom in μB.
Element x y z (fractional)
Os: 0.750 0.750 0.750  3.11
Br: 0.376 0.376 0.376  -0.04
Br: 0.376 0.873 0.376  -0.04
Br: 0.376 0.376 0.873  -0.04
Br: 0.873 0.376 0.376  -0.04
Rh: 0.000 0.000 0.000  1.29

Results
N(E_F) (states/eV/f.u.): 10.9
Total DFT energy (no corrections) (eV per formula unit): -13.49
E_form (uncorrected) (eV/atom): 1.96


Record 12
VASP calculation (PBE) on an optimized crystal structure of OsRhBr2.

abc: 5.821 5.821 5.821
angles: 142.43 142.43 54.18
Last column: magnetic moment on the atom in μB.
Element x y z (fractional)
Br: 0.250 0.750 0.500  0.05
Br: 0.000 0.000 0.000  0.05
Rh: 0.750 0.250 0.500  0.24
Os: 0.500 0.500 0.000  1.16

Results
N(E_F) (states/eV/f.u.): 5.5
Total DFT energy (no corrections) (eV per formula unit): -16.53
E_form (uncorrected) (eV/atom): 1.35
Excess energy over the best structure of this formula in the dataset (meV per atom): 981.6


Record 13
VASP calculation (PBE) on an optimized crystal structure of OsRhBr2.

abc: 3.509 2.987 8.263
angles: 90.73 90.00 90.00
Element x y z (fractional)
Os: 0.000 0.372 0.541
Br: 0.500 0.364 0.332
Br: 0.000 0.886 0.925
Rh: 0.500 0.878 0.702

Results
N(E_F) (states/eV/f.u.): 3.3
Total DFT energy (no corrections) (eV per formula unit): -20.45
E_form (uncorrected) (eV/atom): 0.37
Excess energy over the best structure of this formula in the dataset (meV per atom): 0.0


Record 14
VASP calculation (PBE) on an optimized crystal structure of OsRhBr2.

abc: 3.161 3.161 8.707
angles: 90.00 90.00 123.75
Element x y z (fractional)
Br: 0.000 0.000 0.494
Br: 0.000 0.000 0.006
Os: 0.500 0.500 0.250
Rh: 0.500 0.500 0.750

Results
N(E_F) (states/eV/f.u.): 5.2
Total DFT energy (no corrections) (eV per formula unit): -17.62
E_form (uncorrected) (eV/atom): 1.08
Excess energy over the best structure of this formula in the dataset (meV per atom): 709.5


Record 15
VASP calculation (PBE) on an optimized crystal structure of OsRhBr2.

abc: 4.673 4.673 4.673
angles: 60.00 60.00 60.00
Last column: magnetic moment on the atom in μB.
Element x y z (fractional)
Br: 0.000 0.000 0.000  0.09
Br: 0.750 0.750 0.750  0.01
Rh: 0.250 0.250 0.250  0.08
Os: 0.500 0.500 0.500  0.81

Results
N(E_F) (states/eV/f.u.): 4.7
Total DFT energy (no corrections) (eV per formula unit): -16.31
E_form (uncorrected) (eV/atom): 1.40
Excess energy over the best structure of this formula in the dataset (meV per atom): 1035.6


Record 16
VASP calculation (PBE) on an optimized crystal structure of OsRhBr2.

abc: 9.026 9.026 9.026
angles: 19.89 19.89 19.89
Last column: magnetic moment on the atom in μB.
Element x y z (fractional)
Br: 0.910 0.910 0.910  0.07
Br: 0.090 0.090 0.090  0.07
Rh: 0.500 0.500 0.500  0.84
Os: 0.000 0.000 0.000  -0.09

Results
N(E_F) (states/eV/f.u.): 4.5
Total DFT energy (no corrections) (eV per formula unit): -17.96
E_form (uncorrected) (eV/atom): 0.99
Excess energy over the best structure of this formula in the dataset (meV per atom): 623.9


Record 17
VASP calculation (PBE) on an optimized crystal structure of OsRhBr2.

abc: 3.064 3.064 8.683
angles: 90.00 90.00 90.00
Element x y z (fractional)
Br: 0.500 0.500 0.329
Br: 0.000 0.000 0.922
Rh: 0.500 0.500 0.712
Os: 0.000 0.000 0.537

Results
N(E_F) (states/eV/f.u.): 3.2
Total DFT energy (no corrections) (eV per formula unit): -19.71
E_form (uncorrected) (eV/atom): 0.55
Excess energy over the best structure of this formula in the dataset (meV per atom): 185.5


Record 18
VASP calculation (PBE) on an optimized crystal structure of Os3RhBr.

abc: 4.801 4.801 4.801
angles: 90.00 90.00 90.00
Last column: magnetic moment on the atom in μB.
Element x y z (fractional)
Rh: 0.000 0.000 0.000  0.11
Br: 0.500 0.500 0.500  0.27
Os: 0.500 0.000 0.000  1.45
Os: 0.000 0.500 0.000  1.75
Os: 0.000 0.000 0.500  1.70

Results
N(E_F) (states/eV/f.u.): 9.4
Total DFT energy (no corrections) (eV per formula unit): -29.35
E_form (uncorrected) (eV/atom): 2.67
Excess energy over the best structure of this formula in the dataset (meV per atom): 160.5


Record 19
VASP calculation (PBE) on an optimized crystal structure of OsRhS2Br.

abc: 4.465 5.526 4.465
angles: 90.00 90.00 90.00
Last column: magnetic moment on the atom in μB.
Element x y z (fractional)
Rh: 0.500 0.500 0.500  1.47
Os: 0.000 0.000 0.000  -0.07
S: 0.500 0.000 0.000  0.03
S: 0.000 0.000 0.500  0.05
Br: 0.000 0.500 0.000  0.08

Results
N(E_F) (states/eV/f.u.): 6.5
Total DFT energy (no corrections) (eV per formula unit): -24.03
E_form (uncorrected) (eV/atom): 0.90


Record 20
VASP calculation (PBE) on an optimized crystal structure of ScOsRhBr2.

abc: 5.053 5.007 5.053
angles: 90.00 90.00 90.00
Last column: magnetic moment on the atom in μB.
Element x y z (fractional)
Rh: 0.000 0.500 0.000  0.19
Sc: 0.000 0.000 0.000  -0.03
Os: 0.500 0.500 0.500  3.11
Br: 0.000 0.000 0.500  0.07
Br: 0.500 0.000 0.000  0.08

Results
N(E_F) (states/eV/f.u.): 3.2
Total DFT energy (no corrections) (eV per formula unit): -23.25
E_form (uncorrected) (eV/atom): 1.00


Record 21
VASP calculation (PBE) on an optimized crystal structure of Sm8OsRh3Br4.

abc: 8.141 9.091 8.138
angles: 116.59 120.01 90.00
Element x y z (fractional)
Br: 0.000 0.000 0.500
Br: 0.500 0.000 0.500
Br: 0.000 0.000 0.000
Br: 0.500 0.000 0.000
Sm: 0.737 0.696 0.967
Sm: 0.269 0.307 0.538
Sm: 0.770 0.304 0.033
Sm: 0.770 0.304 0.540
Sm: 0.230 0.696 0.460
Sm: 0.230 0.696 0.967
Sm: 0.263 0.304 0.033
Sm: 0.731 0.693 0.462
Rh: 0.500 0.500 0.000
Rh: 0.500 0.500 0.500
Rh: 0.000 0.500 0.500
Os: 0.000 0.500 0.000

Results
N(E_F) (states/eV/f.u.): 6.4
Total DFT energy (no corrections) (eV per formula unit): -93.50
E_form (uncorrected) (eV/atom): -0.99


Record 22
VASP calculation (PBE) on an optimized crystal structure of Te2OsRhBr.

abc: 5.148 5.076 5.148
angles: 90.00 90.00 90.00
Last column: magnetic moment on the atom in μB.
Element x y z (fractional)
Te: 0.000 0.000 0.500  0.01
Te: 0.500 0.000 0.000  -0.01
Br: 0.000 0.500 0.000  0.06
Rh: 0.500 0.500 0.500  0.97
Os: 0.000 0.000 0.000  -0.08

Results
N(E_F) (states/eV/f.u.): 10.3
Total DFT energy (no corrections) (eV per formula unit): -20.84
E_form (uncorrected) (eV/atom): 1.14


Record 23
VASP calculation (PBE) on an optimized crystal structure of V2OsRhBr.

abc: 4.397 4.441 4.397
angles: 90.00 90.00 90.00
Element x y z (fractional)
Rh: 0.000 0.500 0.000
Os: 0.500 0.500 0.500
V: 0.500 0.000 0.000
V: 0.000 0.000 0.500
Br: 0.000 0.000 0.000

Results
N(E_F) (states/eV/f.u.): 6.6
Total DFT energy (no corrections) (eV per formula unit): -31.39
E_form (uncorrected) (eV/atom): 1.42


Record 24
VASP calculation (PBE) on an optimized crystal structure of YOsRh2Br.

abc: 4.563 5.149 4.563
angles: 90.00 90.00 90.00
Last column: magnetic moment on the atom in μB.
Element x y z (fractional)
Br: 0.000 0.000 0.000  0.01
Rh: 0.500 0.000 0.000  0.19
Rh: 0.000 0.000 0.500  0.12
Y: 0.000 0.500 0.000  -0.11
Os: 0.500 0.500 0.500  1.74

Results
N(E_F) (states/eV/f.u.): 6.8
Total DFT energy (no corrections) (eV per formula unit): -28.71
E_form (uncorrected) (eV/atom): 1.07


Record 25
VASP calculation (PBE) on an optimized crystal structure of ZrOs2RhBr.

abc: 4.584 4.550 4.584
angles: 90.00 90.00 90.00
Element x y z (fractional)
Rh: 0.000 0.500 0.000
Zr: 0.500 0.500 0.500
Br: 0.000 0.000 0.000
Os: 0.500 0.000 0.000
Os: 0.000 0.000 0.500

Results
N(E_F) (states/eV/f.u.): 5.1
Total DFT energy (no corrections) (eV per formula unit): -32.95
E_form (uncorrected) (eV/atom): 1.42


Record 26
VASP calculation (PBE) on an optimized crystal structure of Os3RuBr.

abc: 4.759 4.759 4.759
angles: 90.00 90.00 90.00
Last column: magnetic moment on the atom in μB.
Element x y z (fractional)
Br: 0.500 0.500 0.500  0.27
Os: 0.000 0.000 0.500  1.30
Os: 0.000 0.500 0.000  1.34
Os: 0.500 0.000 0.000  1.09
Ru: 0.000 0.000 0.000  -0.13

Results
N(E_F) (states/eV/f.u.): 5.6
Total DFT energy (no corrections) (eV per formula unit): -31.91
E_form (uncorrected) (eV/atom): 2.55
Excess energy over the best structure of this formula in the dataset (meV per atom): 0.0


Record 27
VASP calculation (PBE) on an optimized crystal structure of OsRuBr2.

abc: 3.070 3.070 10.498
angles: 90.00 90.00 124.66
Element x y z (fractional)
Br: 0.500 0.500 0.308
Br: 0.000 0.000 0.941
Os: 0.000 0.000 0.526
Ru: 0.500 0.500 0.724

Results
N(E_F) (states/eV/f.u.): 5.1
Total DFT energy (no corrections) (eV per formula unit): -20.37
E_form (uncorrected) (eV/atom): 0.87
Excess energy over the best structure of this formula in the dataset (meV per atom): 535.2


Record 28
VASP calculation (PBE) on an optimized crystal structure of OsRuBr2.

abc: 3.214 3.213 6.420
angles: 90.00 90.00 90.00
Element x y z (fractional)
Br: 0.000 0.000 0.502
Br: 0.000 0.000 0.998
Ru: 0.500 0.500 0.750
Os: 0.500 0.500 0.250

Results
N(E_F) (states/eV/f.u.): 4.2
Total DFT energy (no corrections) (eV per formula unit): -17.99
E_form (uncorrected) (eV/atom): 1.47
Excess energy over the best structure of this formula in the dataset (meV per atom): 1129.7


Record 29
VASP calculation (PBE) on an optimized crystal structure of OsRuBr2.

abc: 2.936 4.143 7.462
angles: 90.00 90.00 90.00
Element x y z (fractional)
Os: 0.000 0.000 0.584
Ru: 0.500 0.500 0.667
Br: 0.000 0.000 0.914
Br: 0.500 0.500 0.335

Results
N(E_F) (states/eV/f.u.): 3.1
Total DFT energy (no corrections) (eV per formula unit): -20.42
E_form (uncorrected) (eV/atom): 0.86
Excess energy over the best structure of this formula in the dataset (meV per atom): 522.7